# 1
Here is an optimized crystal structure of Ba3BeS from the Alexandria database. Energies are from PBE-GGA. Values from VASP.

Summary:
**Energy relative to the elements, uncorrected**: -0.29 eV per atom
**ΔE to the lowest computed polymorph**: 0 meV per atom
**DOS at the Fermi energy**: 10.2 states/eV/f.u.
**Calculated total energy**: -3.02 eV/atom
**Crystal system**: cubic
**Calculated volume**: 224.36 Å³/cell

Cell and atoms, written as Quantum ESPRESSO input:
```
&SYSTEM
  ibrav = 0, nat = 5, ntyp = 3
/
ATOMIC_SPECIES
Ba 137.33 Ba.upf
Be 9.01 Be.upf
S 32.06 S.upf
CELL_PARAMETERS angstrom
6.076 0.000 0.000
0.000 6.076 0.000
0.000 0.000 6.076
ATOMIC_POSITIONS angstrom
Ba 0.000 0.000 3.038
Ba 0.000 3.038 0.000
Ba 3.038 0.000 0.000
Be 3.038 3.038 3.038
S 0.000 0.000 0.000
```



# 2
Here is an optimized crystal structure of BaBeS3 from the Alexandria database. Energies are from PBE-GGA. Values from VASP.

Summary:
**Energy relative to the elements, uncorrected**: -0.77 eV per atom
**ΔE to the lowest computed polymorph**: 0 meV per atom
**DOS at the Fermi energy**: 4.7 states/eV/f.u.
**Calculated total energy**: -4.37 eV/atom
**Crystal system**: cubic
**Calculated volume**: 99.74 Å³/cell

Cell and atoms, written as Quantum ESPRESSO input:
```
&SYSTEM
  ibrav = 0, nat = 5, ntyp = 3
/
ATOMIC_SPECIES
Ba 137.33 Ba.upf
Be 9.01 Be.upf
S 32.06 S.upf
CELL_PARAMETERS angstrom
4.638 0.000 0.000
0.000 4.638 0.000
0.000 0.000 4.638
ATOMIC_POSITIONS angstrom
Ba 0.000 0.000 0.000
Be 2.319 2.319 2.319
S 0.000 2.319 2.319
S 2.319 0.000 2.319
S 2.319 2.319 0.000
```



# 3
Here is an optimized crystal structure of BaBe2S from the Alexandria database. Energies are from PBE-GGA. Values from VASP.

Summary:
**Energy relative to the elements, uncorrected**: 0.18 eV per atom
**DOS at the Fermi energy**: 0.9 states/eV/f.u.
**Calculated total energy**: -3.20 eV/atom
**Crystal system**: tetragonal
**Calculated volume**: 171.36 Å³/cell

Cell and atoms, written as Quantum ESPRESSO input:
```
&SYSTEM
  ibrav = 0, nat = 8, ntyp = 3
/
ATOMIC_SPECIES
Ba 137.33 Ba.upf
Be 9.01 Be.upf
S 32.06 S.upf
CELL_PARAMETERS angstrom
-3.722 3.722 3.093
3.722 -3.722 3.093
3.722 3.722 -3.093
ATOMIC_POSITIONS angstrom
Ba 0.000 0.000 0.000
Ba 0.000 3.722 1.546
Be 1.861 -1.130 2.320
Be 2.592 1.861 0.773
Be 1.861 4.852 -0.773
Be 1.130 1.861 3.866
S 3.722 0.000 1.546
S 0.000 0.000 3.093
```



# 4
Here is an optimized crystal structure of BaBe3S from the Alexandria database. Energies are from PBE-GGA. Values from VASP.

Summary:
**Energy relative to the elements, uncorrected**: 2.25 eV per atom
**ΔE to the lowest computed polymorph**: 1451 meV per atom
**DOS at the Fermi energy**: 0.3 states/eV/f.u.
**Calculated total energy**: -1.19 eV/atom
**Crystal system**: cubic
**Calculated volume**: 184.44 Å³/cell

Cell and atoms, written as Quantum ESPRESSO input:
```
&SYSTEM
  ibrav = 0, nat = 5, ntyp = 3
/
ATOMIC_SPECIES
Ba 137.33 Ba.upf
Be 9.01 Be.upf
S 32.06 S.upf
CELL_PARAMETERS angstrom
5.692 0.000 0.000
0.000 5.692 0.000
0.000 0.000 5.692
ATOMIC_POSITIONS angstrom
Ba 0.000 0.000 0.000
Be 0.000 0.000 2.846
Be 0.000 2.846 0.000
Be 2.846 0.000 0.000
S 2.846 2.846 2.846
```



# 5
Here is an optimized crystal structure of BaBe3S from the Alexandria database. Energies are from PBE-GGA. Values from VASP.

Summary:
**Energy relative to the elements, uncorrected**: 0.80 eV per atom
**ΔE to the lowest computed polymorph**: 0 meV per atom
**DOS at the Fermi energy**: 4.0 states/eV/f.u.
**Calculated total energy**: -2.65 eV/atom
**Crystal system**: cubic
**Calculated volume**: 96.34 Å³/cell

Cell and atoms, written as Quantum ESPRESSO input:
```
&SYSTEM
  ibrav = 0, nat = 5, ntyp = 3
/
ATOMIC_SPECIES
Ba 137.33 Ba.upf
Be 9.01 Be.upf
S 32.06 S.upf
CELL_PARAMETERS angstrom
4.584 0.000 0.000
0.000 4.584 0.000
0.000 0.000 4.584
ATOMIC_POSITIONS angstrom
Ba 0.000 0.000 0.000
Be 0.000 2.292 2.292
Be 2.292 0.000 2.292
Be 2.292 2.292 0.000
S 2.292 2.292 2.292
```



# 6
Here is an optimized crystal structure of Ba2BeS2 from the Alexandria database. Energies are from PBE-GGA. Values from VASP.

Summary:
**Energy relative to the elements, uncorrected**: -0.94 eV per atom
**ΔE to the lowest computed polymorph**: 136 meV per atom
**DOS at the Fermi energy**: 0.9 states/eV/f.u.
**Calculated total energy**: -4.10 eV/atom
**Crystal system**: tetragonal
**Calculated volume**: 287.38 Å³/cell

Cell and atoms, written as Quantum ESPRESSO input:
```
&SYSTEM
  ibrav = 0, nat = 10, ntyp = 3
/
ATOMIC_SPECIES
Ba 137.33 Ba.upf
Be 9.01 Be.upf
S 32.06 S.upf
CELL_PARAMETERS angstrom
8.362 0.000 0.000
0.000 8.362 0.000
0.000 0.000 4.110
ATOMIC_POSITIONS angstrom
Ba 1.290 2.890 0.000
Ba 2.890 7.071 0.000
Ba 5.471 1.290 0.000
Ba 7.071 5.471 0.000
Be 0.000 0.000 2.055
Be 4.181 4.181 2.055
S 1.292 5.472 2.055
S 2.889 1.292 2.055
S 5.472 7.070 2.055
S 7.070 2.889 2.055
```



# 7
Here is an optimized crystal structure of BaThBeS4 from the Alexandria database. Energies are from PBE-GGA. Values from VASP.

Summary:
**Energy relative to the elements, uncorrected**: -1.76 eV per atom
**Calculated total energy**: -5.99 eV/atom
**Crystal system**: monoclinic
**Calculated volume**: 333.48 Å³/cell

Cell and atoms, written as Quantum ESPRESSO input:
```
&SYSTEM
  ibrav = 0, nat = 14, ntyp = 4
/
ATOMIC_SPECIES
Ba 137.33 Ba.upf
Th 232.04 Th.upf
Be 9.01 Be.upf
S 32.06 S.upf
CELL_PARAMETERS angstrom
6.309 0.000 0.000
0.000 6.513 0.000
-2.713 0.000 8.115
ATOMIC_POSITIONS angstrom
Ba 0.293 1.628 3.508
Ba 3.304 4.885 4.608
Th -0.877 1.628 7.668
Th 4.473 4.885 0.448
Be 1.295 4.885 1.472
Be 2.301 1.628 6.644
S -1.974 4.885 7.553
S -0.345 4.885 2.813
S 1.021 3.264 6.311
S 1.021 6.505 6.311
S 2.576 0.008 1.804
S 2.576 3.249 1.804
S 3.941 1.628 5.302
S 5.570 1.628 0.563
```



# 8
Here is an optimized crystal structure of Ba2ThBeS5 from the Alexandria database. Energies are from PBE-GGA. Values from VASP.

Summary:
**Energy relative to the elements, uncorrected**: -1.80 eV per atom
**DOS at the Fermi energy**: 0.0 states/eV/f.u.
**Calculated total energy**: -5.75 eV/atom
**Crystal system**: orthorhombic
**Calculated volume**: 488.36 Å³/cell

Cell and atoms, written as Quantum ESPRESSO input:
```
&SYSTEM
  ibrav = 0, nat = 18, ntyp = 4
/
ATOMIC_SPECIES
Ba 137.33 Ba.upf
Th 232.04 Th.upf
Be 9.01 Be.upf
S 32.06 S.upf
CELL_PARAMETERS angstrom
2.080 -8.884 0.000
2.080 8.884 0.000
0.000 0.000 13.211
ATOMIC_POSITIONS angstrom
Ba 2.080 6.842 6.605
Ba 2.080 6.791 2.055
Ba 2.080 -6.791 8.660
Ba 2.080 -6.842 0.000
Th 2.080 5.537 11.110
Th 2.080 -5.537 4.504
Be 2.080 1.062 2.919
Be 2.080 -1.062 9.524
S 2.080 8.236 10.610
S 2.080 3.475 6.365
S 2.080 3.204 2.569
S 2.080 2.828 10.938
S 2.080 0.036 1.169
S 2.080 -0.036 7.775
S 2.080 -2.828 4.332
S 2.080 -3.204 9.174
S 2.080 -3.475 12.970
S 2.080 -8.236 4.004
```



# 9
Here is an optimized crystal structure of BaUBeS4 from the Alexandria database. Energies are from PBE-GGA. Values from VASP.

Summary:
**Energy relative to the elements, uncorrected**: -1.48 eV per atom
**DOS at the Fermi energy**: 5.5 states/eV/f.u.
**Calculated total energy**: -6.26 eV/atom
**Crystal system**: monoclinic
**Calculated volume**: 321.10 Å³/cell

Cell and atoms, written as Quantum ESPRESSO input:
```
&SYSTEM
  ibrav = 0, nat = 14, ntyp = 4
/
ATOMIC_SPECIES
Ba 137.33 Ba.upf
U 238.03 U.upf
Be 9.01 Be.upf
S 32.06 S.upf
CELL_PARAMETERS angstrom
6.186 0.000 0.000
0.000 6.443 0.000
-2.747 0.000 8.057
ATOMIC_POSITIONS angstrom
Ba 0.281 1.611 3.501
Ba 3.157 4.832 4.555
U -0.922 1.611 7.622
U 4.361 4.832 0.435
Be 1.247 4.832 1.422
Be 2.192 1.611 6.634
S -2.098 4.832 7.482
S -0.375 4.832 2.768
S 0.895 3.236 6.315
S 0.895 6.428 6.315
S 2.544 0.015 1.742
S 2.544 3.207 1.742
S 3.813 1.611 5.289
S 5.537 1.611 0.575
```



# 10
Here is an optimized crystal structure of Ba2UBeS6 from the Alexandria database. Energies are from PBE-GGA. Values from VASP.

Summary:
**Energy relative to the elements, uncorrected**: -1.47 eV per atom
**Calculated total energy**: -5.83 eV/atom
**Crystal system**: trigonal
**Calculated volume**: 242.41 Å³/cell

Cell and atoms, written as Quantum ESPRESSO input:
```
&SYSTEM
  ibrav = 0, nat = 10, ntyp = 4
/
ATOMIC_SPECIES
Ba 137.33 Ba.upf
U 238.03 U.upf
Be 9.01 Be.upf
S 32.06 S.upf
CELL_PARAMETERS angstrom
6.892 0.000 0.000
-3.446 5.969 0.000
0.000 0.000 5.893
ATOMIC_POSITIONS angstrom
Ba 0.000 3.979 1.608
Ba 3.446 1.990 4.284
U 0.000 0.000 0.000
Be 0.000 0.000 2.946
S 0.000 1.962 4.295
S -1.747 4.988 4.295
S 1.699 0.981 1.598
S 1.747 4.988 4.295
S 5.193 0.981 1.598
S 3.446 4.007 1.598
```



# 11
Here is an optimized crystal structure of BaBeSb from the Alexandria database. Energies are from PBE-GGA. Values from VASP.

Summary:
**Energy relative to the elements, uncorrected**: -0.48 eV per atom
**ΔE to the lowest computed polymorph**: 0 meV per atom
**DOS at the Fermi energy**: 1.8 states/eV/f.u.
**Calculated total energy**: -3.74 eV/atom
**Crystal system**: hexagonal
**Calculated volume**: 167.19 Å³/cell

Cell and atoms, written as Quantum ESPRESSO input:
```
&SYSTEM
  ibrav = 0, nat = 6, ntyp = 3
/
ATOMIC_SPECIES
Ba 137.33 Ba.upf
Be 9.01 Be.upf
Sb 121.76 Sb.upf
CELL_PARAMETERS angstrom
4.300 0.000 0.000
-2.150 3.724 0.000
0.000 0.000 10.440
ATOMIC_POSITIONS angstrom
Ba 0.000 0.000 0.000
Ba 0.000 0.000 5.220
Be 0.000 2.483 2.610
Be 2.150 1.241 7.830
Sb 0.000 2.483 7.830
Sb 2.150 1.241 2.610
```



# 12
Here is an optimized crystal structure of BaBeSb2 from the Alexandria database. Energies are from PBE-GGA. Values from VASP.

Summary:
**Energy relative to the elements, uncorrected**: 0.17 eV per atom
**DOS at the Fermi energy**: 1.7 states/eV/f.u.
**Calculated total energy**: -3.30 eV/atom
**Crystal system**: tetragonal
**Calculated volume**: 112.33 Å³/cell

Cell and atoms, written as Quantum ESPRESSO input:
```
&SYSTEM
  ibrav = 0, nat = 4, ntyp = 3
/
ATOMIC_SPECIES
Ba 137.33 Ba.upf
Be 9.01 Be.upf
Sb 121.76 Sb.upf
CELL_PARAMETERS angstrom
-2.398 2.398 4.882
2.398 -2.398 4.882
2.398 2.398 -4.882
ATOMIC_POSITIONS angstrom
Ba 0.000 0.000 0.000
Be 2.398 0.000 2.441
Sb 0.000 0.000 4.882
Sb 0.000 2.398 2.441
```